## CdAuCl4 (GGA-PBE)

Data for a geometry-optimized CdAuCl4 structure.

Results
- Energy relative to the elements, uncorrected: -0.6060 eV per atom
- Distance to the lowest polymorph of the same formula: 0 meV per atom
- V: 27.8 Å³ per atom
- E_tot: -2.54 eV/atom
- Space group: P2_1/c, No. 14

Cell: 4.068 6.565 12.497 Å, 93.17 90.00 90.00°
Fractional coordinates of all 12 atoms:
Cl1 0.124 0.328 0.120
Au1 0.000 0.000 0.500
Cl2 0.624 0.172 0.380
Cl3 0.376 0.828 0.620
Cd1 0.000 0.000 0.000
Cl4 0.989 0.674 0.388
Cl5 0.511 0.174 0.888
Cl6 0.876 0.672 0.880
Cl7 0.011 0.326 0.612
Au2 0.500 0.500 0.000
Cd2 0.500 0.500 0.500
Cl8 0.489 0.826 0.112